Record 1
First-principles (PBE) data for a relaxed TlSnSbAu crystal, as listed in Alexandria.

Values from the calculation:
uncorrected formation energy	10.3	kJ/mol of formula units
DOS(E_F)	0.418	states/eV per atom
total magnetic moment	0.0	μB/cell
ΔE to the lowest computed polymorph	0.0	kJ/mol of formula units

Lattice parameters (Å, degrees): 6.925 6.925 6.925 142.82 142.51 53.83
Element x y z (fractional)
Tl  0.000  0.000  0.000
Sn  0.378  0.378  0.000
Sb  0.729  0.229  0.500
Au  0.600  0.600  0.000

---

Record 2
First-principles (PBE) data for a relaxed Tl2SnSb2Au7 crystal, as listed in Alexandria.

Values from the calculation:
uncorrected formation energy	-11.0	kJ/mol of formula units
DOS(E_F)	0.408	states/eV per atom
total magnetic moment	0.0	μB/cell

Lattice parameters (Å, degrees): 4.410 4.410 15.510 97.65 97.65 86.80
Element x y z (fractional)
Tl  0.076  0.076  0.398
Tl  0.924  0.924  0.602
Sn  0.000  0.000  0.000
Sb  0.425  0.425  0.754
Sb  0.575  0.575  0.246
Au  0.034  0.546  0.136
Au  0.443  0.443  0.580
Au  0.454  0.966  0.864
Au  0.500  0.500  0.000
Au  0.546  0.034  0.136
Au  0.557  0.557  0.420
Au  0.966  0.454  0.864

---

Record 3
First-principles (PBE) data for a relaxed Tl2SnSbAu6 crystal, as listed in Alexandria.

Values from the calculation:
uncorrected formation energy	-7.6	kJ/mol of formula units
DOS(E_F)	0.367	states/eV per atom
total magnetic moment	0.0	μB/cell

Lattice parameters (Å, degrees): 7.000 8.354 8.797 90.00 90.00 90.00
Element x y z (fractional)
Tl  0.250  0.017  0.198
Tl  0.250  0.483  0.198
Tl  0.750  0.517  0.802
Tl  0.750  0.983  0.802
Sn  0.250  0.750  0.770
Sn  0.750  0.250  0.230
Sb  0.250  0.250  0.773
Sb  0.750  0.750  0.227
Au  0.027  0.750  0.020
Au  0.036  0.250  0.445
Au  0.250  0.501  0.571
Au  0.250  0.999  0.571
Au  0.464  0.250  0.445
Au  0.473  0.750  0.020
Au  0.527  0.250  0.980
Au  0.536  0.750  0.555
Au  0.750  0.001  0.429
Au  0.750  0.499  0.429
Au  0.964  0.750  0.555
Au  0.973  0.250  0.980

---

Record 4
First-principles (PBE) data for a relaxed SrSb2Au2 crystal, as listed in Alexandria.

Values from the calculation:
uncorrected formation energy	-125.9	kJ/mol of formula units
DOS(E_F)	0.486	states/eV per atom
total magnetic moment	0.0	μB/cell

Lattice parameters (Å, degrees): 8.323 8.323 3.687 90.00 90.00 90.00
Element x y z (fractional)
Sr  0.000  0.000  0.000
Sr  0.500  0.500  0.000
Sb  0.136  0.364  0.000
Sb  0.364  0.864  0.000
Sb  0.636  0.136  0.000
Sb  0.864  0.636  0.000
Au  0.166  0.666  0.500
Au  0.334  0.166  0.500
Au  0.666  0.834  0.500
Au  0.834  0.334  0.500

---

Record 5
First-principles (PBE) data for a relaxed SrSbAu2 crystal, as listed in Alexandria.

Values from the calculation:
uncorrected formation energy	-170.9	kJ/mol of formula units
DOS(E_F)	0.408	states/eV per atom
total magnetic moment	0.0	μB/cell

Lattice parameters (Å, degrees): 4.753 4.753 4.330 90.22 90.22 90.01
Element x y z (fractional)
Sr  0.000  0.000  0.000
Sb  0.500  0.500  0.000
Au  0.000  0.500  0.500
Au  0.500  0.000  0.500

---

Record 6
First-principles (PBE) data for a relaxed SrSbAu2 crystal, as listed in Alexandria.

Values from the calculation:
uncorrected formation energy	-148.0	kJ/mol of formula units
DOS(E_F)	0.518	states/eV per atom
total magnetic moment	0.0	μB/cell

Lattice parameters (Å, degrees): 6.156 6.156 6.156 138.63 138.63 59.94
Element x y z (fractional)
Sr  0.000  0.000  0.000
Sb  0.750  0.250  0.500
Au  0.250  0.750  0.500
Au  0.500  0.500  0.000

---

Record 7
First-principles (PBE) data for a relaxed Sr3SbAu8 crystal, as listed in Alexandria.

Values from the calculation:
uncorrected formation energy	-596.3	kJ/mol of formula units
DOS(E_F)	0.240	states/eV per atom
total magnetic moment	0.0	μB/cell

Lattice parameters (Å, degrees): 10.215 10.215 10.215 32.72 32.72 32.72
Element x y z (fractional)
Sr  0.000  0.000  0.000
Sr  0.130  0.130  0.130
Sr  0.613  0.613  0.613
Sb  0.492  0.492  0.492
Au  0.056  0.560  0.560
Au  0.060  0.060  0.567
Au  0.060  0.567  0.060
Au  0.311  0.311  0.311
Au  0.560  0.056  0.560
Au  0.560  0.560  0.056
Au  0.567  0.060  0.060
Au  0.810  0.810  0.810

---

Record 8
First-principles (PBE) data for a relaxed SrSbAu2 crystal, as listed in Alexandria.

Values from the calculation:
uncorrected formation energy	-144.1	kJ/mol of formula units
DOS(E_F)	0.551	states/eV per atom
total magnetic moment	0.0	μB/cell

Lattice parameters (Å, degrees): 4.007 4.007 6.803 90.00 90.00 90.00
Element x y z (fractional)
Sr  0.000  0.000  0.000
Sb  0.500  0.500  0.617
Au  0.000  0.000  0.537
Au  0.500  0.500  0.208